Run A
# KMoW2

Crystalline KMoW2 at its relaxed geometry (PBE-GGA, Alexandria).

Results
As for the density of states at the Fermi level: 1.03 states/eV/atom.

Unit cell a=4.9386 b=3.9007 c=3.9007 alpha=90.00 beta=90.00 gamma=90.00
With the nearest neighbours (Å) after each atom.
Fractional coordinates of all 4 atoms:
W1 0.0000 0.0000 0.0000  4 W 2.76
Mo1 0.5000 0.0000 0.5000  4 K 2.76
W2 0.0000 0.5000 0.5000  4 W 2.76
K1 0.5000 0.5000 0.0000  4 Mo 2.76

---

Run B
# KMoW2

Crystalline KMoW2 at its relaxed geometry (PBE-GGA, Alexandria).

Results
As for the density of states at the Fermi level: 1.79 states/eV/atom.

Unit cell a=4.9998 b=4.9998 c=9.4246 alpha=74.62 beta=74.62 gamma=90.00
With the nearest neighbours (Å) after each atom.
Fractional coordinates of all 8 atoms:
W1 0.8750 0.0659 0.7500  2 Mo 2.53, 2 W 2.57
K1 0.2500 0.7500 0.5000  4 W 3.35, 4 Mo 3.54
W2 0.9341 0.6250 0.2500  2 Mo 2.53, 2 W 2.57
K2 0.5000 0.5000 0.0000  4 W 3.35, 4 Mo 3.54
Mo1 0.7500 0.2500 0.5000  4 W 2.53
W3 0.3750 0.1841 0.7500  2 Mo 2.53, 2 W 2.57
W4 0.8159 0.1250 0.2500  2 Mo 2.53, 2 W 2.57
Mo2 0.0000 0.0000 0.0000  4 W 2.53

---

Which one is the most stable? From the structures above, run A.